Material: V2Cu2BiO8
Method: DFT, PBE+U
State: relaxed

The structure in POSCAR format:
```
V2Cu2BiO8
1.0
3.1145 0.0000 0.0000
1.2460 6.8705 0.0000
1.4001 0.0787 6.9526
V Cu Bi O
2 2 1 8
Direct
0.0000 0.0000 0.0000 V
0.4939 0.6636 0.3015 V
0.3116 0.3745 0.9611 Cu
0.7927 0.7034 0.6758 Cu
0.1921 0.1834 0.4851 Bi
0.0324 0.2145 0.8197 O
0.2986 0.8458 0.5333 O
0.3059 0.5632 0.7752 O
0.3651 0.1522 0.1377 O
0.6061 0.8920 0.8835 O
0.6144 0.5044 0.1093 O
0.9685 0.8267 0.2072 O
0.9834 0.5287 0.4364 O
```

## Properties
**Space group**: P1
**Energy**: -6.3414 eV per atom
**V**: 148.8 Å³/cell

Material: V2CuBiO8
Method: DFT, PBE+U
State: relaxed

The structure in POSCAR format:
```
V2CuBiO8
1.0
5.7985 0.0000 0.0000
-2.8992 5.0216 0.0000
0.0000 0.0000 6.0015
V Cu Bi O
2 1 1 8
Direct
0.3333 0.6667 0.1296 V
0.6667 0.3333 0.8704 V
0.0000 0.0000 0.0000 Cu
0.0000 0.0000 0.5000 Bi
0.1608 0.3217 0.2135 O
0.1608 0.8392 0.2135 O
0.3217 0.1608 0.7865 O
0.3333 0.6667 0.8584 O
0.6667 0.3333 0.1416 O
0.6783 0.8392 0.2135 O
0.8392 0.1608 0.7865 O
0.8392 0.6783 0.7865 O
```

## Properties
**Space group**: P-3m1
**Energy**: -6.5077 eV per atom
**V**: 174.8 Å³/cell

Material: VCuBi2O6
Method: DFT, PBE+U
State: relaxed

The structure in POSCAR format:
```
VCuBi2O6
1.0
5.5127 0.0000 0.0000
0.0000 5.9790 0.0000
-5.4782 0.0000 7.6366
V Cu Bi O
2 2 4 12
Direct
0.0000 0.0000 0.0000 V
0.0000 0.5000 0.5000 V
0.5000 0.0000 0.5000 Cu
0.5000 0.5000 0.0000 Cu
0.2392 0.0707 0.7379 Bi
0.2392 0.4293 0.2379 Bi
0.7608 0.5707 0.7621 Bi
0.7608 0.9293 0.2621 Bi
0.1513 0.0365 0.2561 O
0.1513 0.4635 0.7561 O
0.2117 0.6914 0.0392 O
0.2117 0.8086 0.5392 O
0.3289 0.1593 0.0486 O
0.3289 0.3407 0.5486 O
0.6711 0.6593 0.4514 O
0.6711 0.8407 0.9514 O
0.7883 0.1914 0.4608 O
0.7883 0.3086 0.9608 O
0.8487 0.5365 0.2439 O
0.8487 0.9635 0.7439 O
```

## Properties
**Space group**: P2_1/c
**Energy**: -6.1798 eV per atom
**V**: 251.7 Å³/cell